Below is AlP2WO after structural relaxation, with properties calculated at the GGA+U level.

Output
Energy ... -5.40 eV per atom

Cell and atoms, written as CIF:
```
data_AlP2WO
_chemical_formula_sum 'Al1 P2 W1 O1'
_symmetry_space_group_name_H-M 'P 4/m m m'
_symmetry_Int_Tables_number 123
_symmetry_space_group_name_Hall '-P 4 2'
_cell_length_a 4.8530
_cell_length_b 4.8530
_cell_length_c 3.8133
_cell_angle_alpha 90.00
_cell_angle_beta 90.00
_cell_angle_gamma 90.00
loop_
_atom_site_label
_atom_site_fract_x
_atom_site_fract_y
_atom_site_fract_z
_atom_site_occupancy
Al1 0.0000 0.0000 0.0000 1
P1 0.0000 0.5000 0.5000 1
W1 0.5000 0.5000 0.5000 1
O1 0.5000 0.5000 0.0000 1
```

---

Below is AlP2WO after structural relaxation, with properties calculated at the GGA+U level.

Output
Energy ... -5.20 eV per atom

Cell and atoms, written as CIF:
```
data_AlP2WO
_chemical_formula_sum 'Al1 P2 W1 O1'
_symmetry_space_group_name_H-M 'P 4/m m m'
_symmetry_Int_Tables_number 123
_symmetry_space_group_name_Hall '-P 4 2'
_cell_length_a 4.9352
_cell_length_b 4.9352
_cell_length_c 3.3921
_cell_angle_alpha 90.00
_cell_angle_beta 90.00
_cell_angle_gamma 90.00
loop_
_atom_site_label
_atom_site_fract_x
_atom_site_fract_y
_atom_site_fract_z
_atom_site_occupancy
Al1 0.0000 0.0000 0.0000 1
P1 0.0000 0.5000 0.0000 1
W1 0.5000 0.5000 0.5000 1
O1 0.0000 0.0000 0.5000 1
```

---

Looking at relative energy among the computed polymorphs for the records above, in order, we have 0 210 meV per atom.